Below is a geometry-optimized Pm2Pr4N structure, with properties calculated at the PBE level.

Summary:
- Fermi-level density of states (states/eV/cell) = 15.437
- crystal system = tetragonal
- formation energy without anion corrections (eV per atom) = -0.2077

Cell: 5.0697 5.0697 17.8781 Å, 90.00 90.00 90.00°
Closest atoms and distances in Å follow each position.
Space group I4/mmm (No. 139)
Symmetry-distinct sites (fractional):
Pm1 0.0000 0.0000 0.1326 (multiplicity 4)  1 N 2.37
Pr1 0.0000 0.0000 0.3309 (multiplicity 4)  5 Pm 3.55-3.64, 4 Pr 3.94
Pr2 0.0000 0.5000 0.0000 (multiplicity 4)  2 N 2.53
N1 0.0000 0.0000 0.0000 (multiplicity 2)  2 Pm 2.37, 4 Pr 2.53